Version one
In2Co2H: relaxed, PBE-GGA.

Its density is 8.3 g/cm3.

Cell: 5.725 5.725 4.247 Å, 90.00 90.00 90.00°
Sites, in units of the cell vectors:
H 0.000 0.000 0.000
H 0.500 0.500 0.000
Co 0.345 0.845 0.000
Co 0.845 0.655 0.000
Co 0.655 0.155 0.000
Co 0.155 0.345 0.000
In 0.170 0.670 0.500
In 0.670 0.830 0.500
In 0.830 0.330 0.500
In 0.330 0.170 0.500

---

Version two
In2Co2H: relaxed, PBE-GGA.

Its density is 7.3 g/cm3.

Cell: 5.209 5.209 4.695 Å, 56.31 56.31 90.00°
Sites, in units of the cell vectors:
H 0.000 0.000 0.000
Co 0.308 0.308 0.385
Co 0.692 0.692 0.615
In 0.750 0.250 0.500
In 0.250 0.750 0.500

---

Ranking the structures above from most stable to least stable yields version one, version two.